Entry w
The following is a DFT calculation (PBE) of a geometry-optimized LaNi2BW structure.

Geometry as extended XYZ:
```
5
Lattice="4.6243 0.0000 0.0000 0.0000 4.3046 0.0000 0.0000 0.0000 4.6243" Properties=species:S:1:pos:R:3 pbc="T T T"
Ni 0.0000 0.0000 2.3122
W 0.0000 0.0000 0.0000
Ni 2.3122 0.0000 0.0000
B 0.0000 2.1523 0.0000
La 2.3122 2.1523 2.3122
```

Values from the calculation:
V: 18.41 Å³ per atom
SG: P4/mmm

---

Entry x
The following is a DFT calculation (PBE) of a geometry-optimized LaNi2BW structure.

Geometry as extended XYZ:
```
5
Lattice="-2.0890 1.7711 3.5935 2.1541 -2.8333 2.6487 3.3522 2.9919 0.4742" Properties=species:S:1:pos:R:3 pbc="T T T"
Ni -1.0445 0.8855 1.7967
Ni 1.6761 1.4959 0.2371
W 1.7087 0.9648 3.3582
La 0.0000 0.0000 0.0000
B 1.0770 -1.4167 1.3243
```

Values from the calculation:
V: 18.11 Å³ per atom
SG: P4/mmm

---

Here are the energies relative to the best structure, in kJ/mol of atoms: entry w 0.0; entry x 169.8.

---

Entry w
The following is a DFT calculation (PBE) of a geometry-optimized La2B2O structure.

Geometry as extended XYZ:
```
5
Lattice="3.1244 0.0000 0.0000 0.0000 3.1244 0.0000 1.5622 1.5622 7.9246" Properties=species:S:1:pos:R:3 pbc="T T T"
B 1.5622 3.1244 3.9623
La 3.1244 3.1244 6.3111
O 0.0000 0.0000 0.0000
La 1.5622 1.5622 1.6135
B 3.1244 1.5622 3.9623
```

Values from the calculation:
V: 15.47 Å³ per atom
SG: I4/mmm

---

Entry x
The following is a DFT calculation (PBE) of a geometry-optimized La2B2O structure.

Geometry as extended XYZ:
```
10
Lattice="-4.4379 -5.4808 0.0004 5.4175 -4.3867 -1.0686 0.4655 -0.3766 3.9055" Properties=species:S:1:pos:R:3 pbc="T T T"
B -1.2301 -2.8447 1.8710
La 2.9920 -5.0467 -0.8432
La 0.3487 -7.4435 -0.7592
B -1.5716 -7.1054 1.5009
La 0.6309 -2.4240 -0.3089
La -2.0124 -4.8208 -0.2250
B 2.6751 -7.3993 0.9664
B 3.0166 -3.1387 1.3365
O 0.0000 0.0000 0.0000
O 0.4898 -4.9338 -0.5341
```

Values from the calculation:
V: 19.65 Å³ per atom
SG: P4/mbm

---

Here are the energies relative to the best structure, in kJ/mol of atoms: entry w 56.3; entry x 0.0.

---

Entry w
The following is a DFT calculation (PBE) of a geometry-optimized LaB2O4 structure.

Geometry as extended XYZ:
```
14
Lattice="6.1956 0.0001 3.1208 2.9192 5.3642 1.9152 0.6843 0.3826 6.3522" Properties=species:S:1:pos:R:3 pbc="T T T"
B 8.4474 5.0321 8.2884
O 5.6445 0.5729 7.2525
La 6.3539 2.8735 6.4266
O 1.6074 1.4411 1.4845
B 2.9004 0.7149 3.8799
B 2.9898 2.9067 7.5586
O 6.5953 5.1742 5.3652
O 8.4095 4.3017 7.2537
O 2.0463 1.4454 4.4653
O 5.2191 2.2747 4.2395
O 5.7526 4.3057 8.6754
La 0.0946 0.0001 0.0477
B 5.2605 2.8401 3.0495
O 3.9213 3.4720 6.8170
```

Values from the calculation:
V: 14.19 Å³ per atom
SG: I2_12_12_1

---

Entry x
The following is a DFT calculation (PBE) of a geometry-optimized LaB2O4 structure.

Geometry as extended XYZ:
```
7
Lattice="5.3193 -0.7750 0.0000 -3.2404 4.2890 0.0000 -1.0395 -1.7570 4.9728" Properties=species:S:1:pos:R:3 pbc="T T T"
B 2.6597 -0.3875 2.4864
O 1.4687 -0.8689 3.2441
O -1.4878 0.8802 3.2662
B -1.6202 2.1445 2.4864
La 1.0395 1.7570 0.0000
O 2.5273 0.8768 1.7065
O -0.4293 2.6259 1.7286
```

Values from the calculation:
V: 14.42 Å³ per atom
SG: I4/m

---

Here are the energies relative to the best structure, in kJ/mol of atoms: entry w 11.5; entry x 0.0.

---

Entry w
The following is a DFT calculation (PBE) of a geometry-optimized LaB3O structure.

Geometry as extended XYZ:
```
5
Lattice="4.0502 0.0000 0.0000 0.0000 4.0502 0.0000 0.0000 0.0000 4.0502" Properties=species:S:1:pos:R:3 pbc="T T T"
La 2.0251 2.0251 2.0251
B 2.0251 0.0000 0.0000
B 0.0000 2.0251 0.0000
B 0.0000 0.0000 2.0251
O 0.0000 0.0000 0.0000
```

Values from the calculation:
V: 13.29 Å³ per atom
SG: Pm-3m

---

Entry x
The following is a DFT calculation (PBE) of a geometry-optimized LaB3O structure.

Geometry as extended XYZ:
```
5
Lattice="4.9948 0.0000 0.0000 0.0000 4.9948 0.0000 0.0000 0.0000 4.9948" Properties=species:S:1:pos:R:3 pbc="T T T"
B 2.4974 0.0000 0.0000
O 2.4974 2.4974 2.4974
B 0.0000 2.4974 0.0000
La 0.0000 0.0000 0.0000
B 0.0000 0.0000 2.4974
```

Values from the calculation:
V: 24.92 Å³ per atom
SG: Pm-3m

---

Here are the energies relative to the best structure, in kJ/mol of atoms: entry w 0.0; entry x 156.6.

---

Entry w
The following is a DFT calculation (PBE) of a geometry-optimized LaBP2O structure.

Geometry as extended XYZ:
```
5
Lattice="-1.6670 2.1942 2.5947 -2.8725 0.6342 -2.3817 -2.6845 -4.4628 2.0493" Properties=species:S:1:pos:R:3 pbc="T T T"
P -0.8335 1.0971 1.2973
B 0.0000 0.0000 0.0000
O -1.3422 -2.2314 1.0246
P -1.4362 0.3171 -1.1909
La -3.6120 -0.8172 1.1311
```

Values from the calculation:
V: 16.04 Å³ per atom
SG: P4/mmm

---

Entry x
The following is a DFT calculation (PBE) of a geometry-optimized LaBP2O structure.

Geometry as extended XYZ:
```
5
Lattice="5.7953 0.0000 0.0000 0.0000 5.7953 0.0000 0.0000 0.0000 4.2715" Properties=species:S:1:pos:R:3 pbc="T T T"
B 2.8976 2.8976 2.1357
La 0.0000 0.0000 0.0000
P 0.0000 2.8976 0.0000
O 0.0000 0.0000 2.1357
P 2.8976 0.0000 0.0000
```

Values from the calculation:
V: 28.69 Å³ per atom
SG: P4/mmm

---

Here are the energies relative to the best structure, in kJ/mol of atoms: entry w 0.0; entry x 146.3.

---

Entry w
The following is a DFT calculation (PBE) of a geometry-optimized LaBOs structure.

Geometry as extended XYZ:
```
3
Lattice="2.9490 0.6691 0.0000 -0.6709 2.9486 0.0000 -1.1391 -1.8089 5.3406" Properties=species:S:1:pos:R:3 pbc="T T T"
B 0.0000 0.0000 0.5475
Os 1.1391 1.8089 1.1987
La 0.0000 0.0000 3.5944
```

Values from the calculation:
V: 16.28 Å³ per atom
SG: I4mm

---

Entry x
The following is a DFT calculation (PBE) of a geometry-optimized LaBOs structure.

Geometry as extended XYZ:
```
3
Lattice="4.5929 0.0000 0.0000 0.0000 3.7066 0.0000 0.0000 -1.8533 3.2100" Properties=species:S:1:pos:R:3 pbc="T T T"
B 0.7646 1.8533 1.0700
Os 0.7653 0.0000 0.0000
La 3.0630 0.0000 2.1400
```

Values from the calculation:
V: 18.22 Å³ per atom
SG: P-6m2

---

Entry y
The following is a DFT calculation (PBE) of a geometry-optimized LaBOs structure.

Geometry as extended XYZ:
```
6
Lattice="3.9982 0.0000 0.0000 0.0000 3.9982 0.0000 0.0000 0.0000 8.0620" Properties=species:S:1:pos:R:3 pbc="T T T"
La 1.9991 0.0000 1.6863
La 0.0000 1.9991 6.3757
B 0.0000 1.9991 3.1953
Os 1.9991 1.9991 4.0310
B 1.9991 0.0000 4.8668
Os 0.0000 0.0000 4.0310
```

Values from the calculation:
V: 21.48 Å³ per atom
SG: P4/nmm

---

Here are the energies relative to the best structure, in kJ/mol of atoms: entry w 26.0; entry x 0.9; entry y 0.0.

---

Entry w
The following is a DFT calculation (PBE) of a geometry-optimized LaB3Os structure.

Geometry as extended XYZ:
```
5
Lattice="-3.1636 -0.5907 2.6264 -2.5480 -0.6505 -3.2155 0.8685 -4.0600 0.1331" Properties=species:S:1:pos:R:3 pbc="T T T"
B -1.5818 -0.2953 1.3132
Os 0.0000 0.0000 0.0000
B 0.4343 -2.0300 0.0665
B -1.2740 -0.3252 -1.6078
La -2.4216 -2.6506 -0.2280
```

Values from the calculation:
V: 14.34 Å³ per atom
SG: Pm-3m

---

Entry x
The following is a DFT calculation (PBE) of a geometry-optimized LaB3Os structure.

Geometry as extended XYZ:
```
5
Lattice="-0.1237 4.2369 -0.4876 -2.0156 -0.4880 -3.7288 -3.7585 0.1222 2.0157" Properties=species:S:1:pos:R:3 pbc="T T T"
La 0.0000 0.0000 0.0000
B -1.0078 -0.2440 -1.8644
B -0.0618 2.1184 -0.2438
B -1.8793 0.0611 1.0078
Os -2.9489 1.9356 -1.1004
```

Values from the calculation:
V: 15.53 Å³ per atom
SG: Pm-3m

---

Here are the energies relative to the best structure, in kJ/mol of atoms: entry w 0.0; entry x 296.8.